A relaxed Y2ZrBiC crystal. Source: Alexandria via LeMat-Bulk, functional GGA-PBEsol.

Cell: 4.517 4.895 4.895 Å, 90.00 90.00 90.00°
Element x y z (fractional)
1 Y 0.000 0.000 0.500
2 Y 0.000 0.500 0.000
3 C 0.000 0.000 0.000
4 Bi 0.500 0.500 0.500
5 Zr 0.500 0.000 0.000

Total moment (μB per cell): 0.00
VASP energy (eV/atom): -7.884
Formation energy (meV/atom): -551